Entry 1:
The following is a DFT calculation (PBE-GGA) of a relaxed Ta3TlGe crystal.

POSCAR file:
```
Ta3TlGe
1.0
-2.081 1.534 4.376
-1.293 -4.798 1.067
4.453 -0.676 2.355
Ta Ge Tl
3 1 1
Cartesian
-0.646 -2.399 0.534 Ta
2.226 -0.338 1.177 Ta
-1.040 0.767 2.188 Ta
0.540 -1.970 3.899 Ge
0.000 0.000 0.000 Tl
```

Output
- Space group: No. 221
- Size of the total moment: 0.00 μB per formula unit
- Offset from the most stable computed form: 1300 meV/atom
- Theoretical density: 10.37 g cm⁻³

Entry 2:
The following is a DFT calculation (PBE-GGA) of a relaxed Ta3TlGe crystal.

POSCAR file:
```
Ta3TlGe
1.0
4.783 0.000 0.000
0.000 4.783 0.000
0.000 0.000 4.783
Ta Ge Tl
3 1 1
Cartesian
0.000 0.000 2.391 Ta
2.391 0.000 0.000 Ta
0.000 2.391 0.000 Ta
0.000 0.000 0.000 Ge
2.391 2.391 2.391 Tl
```

Output
- Space group: No. 221
- Size of the total moment: 0.01 μB per formula unit
- Offset from the most stable computed form: 0 meV/atom
- Theoretical density: 12.44 g cm⁻³

Entry 3:
The following is a DFT calculation (PBE-GGA) of a relaxed TaTl2GeW crystal.

POSCAR file:
```
TaTl2GeW
1.0
5.023 0.000 0.000
0.000 4.931 0.000
0.000 0.000 5.023
Ge Tl Ta W
1 2 1 1
Cartesian
0.000 0.000 0.000 Ge
0.000 0.000 2.511 Tl
2.511 0.000 0.000 Tl
0.000 2.465 0.000 Ta
2.511 2.465 2.511 W
```

Output
- Final energy: -4.86 eV per atom
- Space group: No. 123
- Size of the total moment: 0.00 μB per formula unit
- Theoretical density: 11.29 g cm⁻³

Entry 4:
The following is a DFT calculation (PBE-GGA) of a relaxed Tm2Ta3Ge4 crystal.

POSCAR file:
```
Tm2Ta3Ge4
1.0
6.990 -0.050 0.000
-2.345 6.723 0.000
0.000 0.000 7.116
Ge Ta Tm
8 6 4
Cartesian
-0.255 3.435 6.176 Ge
2.280 0.546 6.866 Ge
2.365 6.127 0.250 Ge
3.240 3.410 4.498 Ge
-1.130 6.152 3.308 Ge
4.900 3.238 0.940 Ge
5.775 0.521 3.808 Ge
1.405 3.263 2.618 Ge
0.030 4.999 1.249 Ta
4.615 1.674 5.867 Ta
1.120 1.699 4.807 Ta
2.323 3.337 0.000 Ta
3.525 4.974 2.309 Ta
-1.172 3.362 3.558 Ta
3.456 1.223 2.343 Tm
1.189 5.450 4.773 Tm
-0.039 1.248 1.215 Tm
4.684 5.425 5.901 Tm
```

Output
- Final energy: -7.64 eV per atom
- Space group: No. 14
- Size of the total moment: 0.00 μB per formula unit
- Theoretical density: 11.66 g cm⁻³

Entry 5:
The following is a DFT calculation (PBE-GGA) of a relaxed U2Ta3Ge4 crystal.

POSCAR file:
```
U2Ta3Ge4
1.0
7.037 -0.075 0.000
-2.383 6.747 0.000
0.000 0.000 7.154
Ta Ge U
6 8 4
Cartesian
-0.012 5.041 1.217 Ta
4.666 1.631 5.937 Ta
2.327 3.336 0.000 Ta
3.507 5.003 2.360 Ta
1.147 1.668 4.794 Ta
-1.191 3.374 3.577 Ta
-1.185 6.152 3.281 Ge
2.334 6.114 0.296 Ge
5.839 0.520 3.873 Ge
4.906 3.259 0.961 Ge
2.320 0.558 6.858 Ge
-0.252 3.413 6.193 Ge
3.267 3.375 4.538 Ge
1.388 3.297 2.616 Ge
4.695 5.453 5.972 U
3.478 1.181 2.395 U
1.176 5.490 4.759 U
-0.041 1.219 1.182 U
```

Output
- Final energy: -8.86 eV per atom
- Space group: No. 14
- Size of the total moment: 4.75 μB per formula unit
- Theoretical density: 12.85 g cm⁻³

Entry 6:
The following is a DFT calculation (PBE-GGA) of a relaxed UTaGe2 crystal.

POSCAR file:
```
UTaGe2
1.0
-0.712 2.403 1.553
-2.803 0.470 0.786
0.441 -4.321 9.687
Ge Ta U
2 1 1
Cartesian
-3.057 1.374 4.869 Ge
-0.017 -2.822 7.157 Ge
-1.537 -0.724 6.013 Ta
0.000 0.000 0.000 U
```

Output
- Final energy: -7.94 eV per atom
- Space group: No. 166
- Size of the total moment: 1.85 μB per formula unit
- Theoretical density: 11.87 g cm⁻³

Entry 7:
The following is a DFT calculation (PBE-GGA) of a relaxed Ta2VGe crystal.

POSCAR file:
```
Ta2VGe
1.0
-2.514 -2.608 0.086
0.014 -0.152 -4.215
3.037 -2.924 0.116
Ta V Ge
2 1 1
Cartesian
0.007 -0.076 -2.107 Ta
1.519 -1.462 0.058 Ta
-1.257 -1.304 0.043 V
0.269 -2.842 -2.007 Ge
```

Output
- Final energy: -9.48 eV per atom
- Space group: No. 123
- Size of the total moment: 0.00 μB per formula unit
- Theoretical density: 12.51 g cm⁻³

Entry 8:
The following is a DFT calculation (PBE-GGA) of a relaxed Ta2VGe crystal.

POSCAR file:
```
Ta2VGe
1.0
3.085 0.000 0.000
1.542 2.672 0.000
1.542 0.891 8.256
Ta Ge V
2 1 1
Cartesian
4.627 2.672 6.147 Ta
1.542 0.891 2.109 Ta
0.000 0.000 0.000 Ge
3.085 1.781 4.128 V
```

Output
- Final energy: -9.19 eV per atom
- Space group: No. 166
- Size of the total moment: 0.00 μB per formula unit
- Theoretical density: 11.85 g cm⁻³

Entry 9:
The following is a DFT calculation (PBE-GGA) of a relaxed Ta2VGe2 crystal.

POSCAR file:
```
Ta2VGe2
1.0
7.252 0.000 0.000
0.000 7.252 0.000
0.000 0.000 3.291
Ta V Ge
4 2 4
Cartesian
6.262 4.616 0.000 Ta
4.616 0.990 0.000 Ta
2.636 6.262 0.000 Ta
0.990 2.636 0.000 Ta
3.626 3.626 0.000 V
0.000 0.000 0.000 V
4.807 6.070 1.646 Ge
1.181 4.807 1.646 Ge
2.444 1.181 1.646 Ge
6.070 2.444 1.646 Ge
```

Output
- Space group: No. 127
- Size of the total moment: 0.44 μB per formula unit
- Offset from the most stable computed form: 559 meV/atom
- Theoretical density: 10.71 g cm⁻³

Entry 10:
The following is a DFT calculation (PBE-GGA) of a relaxed Ta3V5Ge2 crystal.

POSCAR file:
```
Ta3V5Ge2
1.0
5.224 0.000 0.000
2.612 8.093 0.171
2.612 2.313 7.757
Ge Ta V
4 6 10
Cartesian
5.224 7.934 2.559 Ge
7.836 4.573 6.971 Ge
2.612 5.833 0.958 Ge
5.224 2.471 5.370 Ge
1.306 0.000 0.000 Ta
3.918 0.000 0.000 Ta
7.836 8.387 3.623 Ta
5.224 5.719 7.124 Ta
2.612 2.019 4.306 Ta
5.224 4.687 0.804 Ta
9.142 8.344 6.358 V
7.836 6.527 5.554 V
3.918 5.203 3.964 V
5.224 3.319 3.109 V
1.306 2.062 1.571 V
2.612 3.878 2.375 V
3.918 2.062 1.571 V
6.530 8.344 6.358 V
6.530 5.203 3.964 V
5.224 7.087 4.819 V
```

Output
- Final energy: -8.89 eV per atom
- Space group: No. 72
- Size of the total moment: 0.00 μB per formula unit
- Theoretical density: 9.61 g cm⁻³

Entry 11:
The following is a DFT calculation (PBE-GGA) of a relaxed TaVGe3 crystal.

POSCAR file:
```
TaVGe3
1.0
-1.180 1.983 -4.011
3.756 -1.816 -2.002
-2.432 -3.766 -1.146
V Ge Ta
1 3 1
Cartesian
0.000 0.000 0.000 V
-0.590 0.991 -2.006 Ge
-1.216 -1.883 -0.573 Ge
1.878 -0.908 -1.001 Ge
0.072 -1.800 -3.580 Ta
```

Output
- Final energy: -6.04 eV per atom
- Space group: No. 221
- Size of the total moment: 0.89 μB per formula unit
- Theoretical density: 7.54 g cm⁻³

Entry 12:
The following is a DFT calculation (PBE-GGA) of a relaxed Ta2V3Ge crystal.

POSCAR file:
```
Ta2V3Ge
1.0
4.987 0.000 0.000
-2.494 4.319 0.000
0.000 0.000 8.424
Ge V Ta
2 6 4
Cartesian
0.000 0.000 4.212 Ge
0.000 0.000 0.000 Ge
-1.202 3.573 6.318 V
1.292 0.746 2.106 V
2.494 2.827 2.106 V
3.695 0.746 2.106 V
1.202 3.573 6.318 V
0.000 1.492 6.318 V
0.000 2.879 0.524 Ta
2.494 1.440 7.901 Ta
0.000 2.879 3.689 Ta
2.494 1.440 4.736 Ta
```

Output
- Space group: No. 194
- Size of the total moment: 0.00 μB per formula unit
- Offset from the most stable computed form: 0 meV/atom
- Theoretical density: 10.75 g cm⁻³